TbSm5DyEr2: optimized geometry, GGA-PBE.

POSCAR file:
```
TbSm5DyEr2
1.0
2.812 -10.076 0.000
2.812 10.076 0.000
0.000 0.000 10.633
Tb Sm Dy Er
2 10 2 4
Direct
0.199 0.801 0.500
0.801 0.199 0.000
0.017 0.983 0.511
0.281 0.719 0.800
0.298 0.702 0.196
0.389 0.611 0.513
0.480 0.520 0.231
0.520 0.480 0.731
0.611 0.389 0.013
0.702 0.298 0.696
0.719 0.281 0.300
0.983 0.017 0.011
0.411 0.589 0.947
0.589 0.411 0.447
0.111 0.889 0.227
0.115 0.885 0.805
0.885 0.115 0.305
0.889 0.111 0.727
```

DFT formation energy: 130 kJ/mol of formula units
Symmetry: Cmc2_1